1.
An optimized crystal structure of CaZrCl2, computed with GGA-PBE.

* ΔE to the lowest computed polymorph: 190 meV/atom
* formation energy without anion corrections: -0.98 eV per atom

Lattice parameters (Å, degrees): 9.7494 9.7494 9.7494 20.27 20.27 20.27
With the nearest neighbours (Å) after each atom.
Sites, in units of the cell vectors:
1 Zr 0.2500 0.2500 0.2500  6 Cl 2.71
2 Cl 0.5186 0.5186 0.5186  3 Zr 2.71
3 Cl 0.9814 0.9814 0.9814  3 Zr 2.71
4 Ca 0.7500 0.7500 0.7500  6 Ca 3.43, 6 Cl 3.53

=====

2.
An optimized crystal structure of Li2GePd2, computed with GGA-PBE.

* ΔE to the lowest computed polymorph: 214 meV/atom
* energy of formation: -0.3359 eV/atom

Lattice parameters (Å, degrees): 6.7018 6.7018 3.0537 90.00 90.00 90.00
With the nearest neighbours (Å) after each atom.
Sites, in units of the cell vectors:
1 Ge 0.0000 0.0000 0.0000  4 Li 2.67, 8 Pd 2.89
2 Ge 0.5000 0.5000 0.0000  4 Li 2.67, 8 Pd 2.89
3 Li 0.8792 0.6208 0.0000  1 Li 2.29, 2 Pd 2.41
4 Li 0.1208 0.3792 0.0000  1 Li 2.29, 2 Pd 2.41
5 Li 0.3792 0.8792 0.0000  1 Li 2.29, 2 Pd 2.41
6 Li 0.6208 0.1208 0.0000  1 Li 2.29, 2 Pd 2.41
7 Pd 0.1824 0.6824 0.5000  6 Li 2.41-2.57
8 Pd 0.6824 0.8176 0.5000  6 Li 2.41-2.57
9 Pd 0.8176 0.3176 0.5000  6 Li 2.41-2.57
10 Pd 0.3176 0.1824 0.5000  6 Li 2.41-2.57

=====

3.
An optimized crystal structure of LaY2Fe9, computed with GGA-PBE.

* energy of formation: -0.0100 eV/atom

Lattice parameters (Å, degrees): 5.1526 5.1526 8.6906 72.76 72.76 60.00
With the nearest neighbours (Å) after each atom.
Sites, in units of the cell vectors:
1 Fe 0.3325 0.3325 0.0026  6 Fe 2.50-2.53
2 Fe 0.4181 0.4181 0.2486  7 Fe 2.50-2.59
3 Fe 0.5000 0.5000 0.5000  6 Fe 2.53
4 Fe 0.5819 0.5819 0.7514  7 Fe 2.50-2.59
5 Fe 0.0848 0.5819 0.7514  7 Fe 2.50-2.59
6 Fe 0.6675 0.6675 0.9974  6 Fe 2.50-2.53
7 Fe 0.9152 0.4181 0.2486  7 Fe 2.50-2.59
8 Fe 0.4181 0.9152 0.2486  7 Fe 2.50-2.59
9 Fe 0.5819 0.0848 0.7514  7 Fe 2.50-2.59
10 Y 0.8579 0.8579 0.4262  12 Fe 2.96-3.05, 3 Y 3.21
11 Y 0.1421 0.1421 0.5738  12 Fe 2.96-3.05, 3 Y 3.21
12 La 0.0000 0.0000 0.0000  18 Fe 2.97-3.28

=====

4.
An optimized crystal structure of Cr2GaS, computed with GGA-PBE.

* ΔE to the lowest computed polymorph: 85 meV/atom
* formation energy without anion corrections: 0.28 eV per atom

Lattice parameters (Å, degrees): 4.1508 4.1508 4.1508 60.00 60.00 60.00
With the nearest neighbours (Å) after each atom.
Sites, in units of the cell vectors:
1 Cr 0.2500 0.2500 0.2500  4 S 2.54, 4 Ga 2.54
2 Cr 0.7500 0.7500 0.7500  4 S 2.54, 4 Ga 2.54
3 S 0.0000 0.0000 0.0000  8 Cr 2.54
4 Ga 0.5000 0.5000 0.5000  8 Cr 2.54

=====

5.
An optimized crystal structure of LaTb2Er, computed with GGA-PBE.

* ΔE to the lowest computed polymorph: 133 meV/atom
* energy of formation: 0.1406 eV/atom

Lattice parameters (Å, degrees): 5.7360 5.7360 5.7360 60.00 60.00 60.00
With the nearest neighbours (Å) after each atom.
Sites, in units of the cell vectors:
1 La 0.5000 0.5000 0.5000  8 Tb 3.51
2 Er 0.0000 0.0000 0.0000  8 Tb 3.51
3 Tb 0.7500 0.7500 0.7500  4 Er 3.51, 4 La 3.51
4 Tb 0.2500 0.2500 0.2500  4 La 3.51, 4 Er 3.51

=====

6.
An optimized crystal structure of Cu2Br, computed with GGA-PBE.

* ΔE to the lowest computed polymorph: 310 meV/atom
* formation energy without anion corrections: 0.31 eV per atom

Lattice parameters (Å, degrees): 3.4262 3.4262 10.4585 90.00 90.00 120.00
With the nearest neighbours (Å) after each atom.
Sites, in units of the cell vectors:
1 Cu 0.3333 0.6667 0.9258  3 Cu 2.51, 3 Br 2.70
2 Cu 0.3333 0.6667 0.5742  3 Cu 2.51, 3 Br 2.70
3 Cu 0.6667 0.3333 0.4258  3 Cu 2.51, 3 Br 2.70
4 Cu 0.6667 0.3333 0.0742  3 Cu 2.51, 3 Br 2.70
5 Br 0.0000 0.0000 0.2500  6 Cu 2.70
6 Br 0.0000 0.0000 0.7500  6 Cu 2.70

=====

7.
An optimized crystal structure of MnCd2As, computed with GGA-PBE.

* energy of formation: 0.2143 eV/atom

Lattice parameters (Å, degrees): 4.8024 6.1628 3.0615 74.32 93.22 113.80
With the nearest neighbours (Å) after each atom.
Sites, in units of the cell vectors:
1 Mn 0.0000 0.5000 0.5000  4 As 2.77-2.92, 4 Cd 3.05, 2 Mn 3.06
2 Cd 0.5000 0.0000 0.5000  6 Cd 2.77-3.06, 2 As 3.05, 2 Mn 3.05
3 Cd 0.0000 0.0000 0.0000  6 Cd 2.77-3.06, 2 Mn 3.05, 2 As 3.05
4 As 0.5000 0.5000 0.0000  4 Mn 2.77-2.92, 4 Cd 3.05, 2 As 3.06

=====

8.
An optimized crystal structure of LiTc2Au, computed with GGA-PBE.

* ΔE to the lowest computed polymorph: 101 meV/atom
* energy of formation: 0.1406 eV/atom

Lattice parameters (Å, degrees): 2.7125 2.7125 9.3150 90.00 90.00 115.20
With the nearest neighbours (Å) after each atom.
Sites, in units of the cell vectors:
1 Tc 0.5000 0.5000 0.2327  6 Tc 2.57-2.71
2 Tc 0.0000 0.0000 0.0046  6 Tc 2.57-2.71, 2 Li 2.76
3 Li 0.5000 0.5000 0.7529  2 Au 2.69, 6 Li 2.71-2.91, 2 Tc 2.76
4 Au 0.0000 0.0000 0.5098  2 Li 2.69, 6 Au 2.71-2.91, 2 Tc 2.96

=====

9.
An optimized crystal structure of Ba2SrSe, computed with GGA-PBE.

* ΔE to the lowest computed polymorph: 114 meV/atom
* formation energy without anion corrections: -0.81 eV per atom

Lattice parameters (Å, degrees): 8.3537 8.3537 8.3537 151.55 139.92 49.88
With the nearest neighbours (Å) after each atom.
Sites, in units of the cell vectors:
1 Sr 0.3284 0.8284 0.5000  2 Se 3.26
2 Ba 0.6742 0.1742 0.5000  2 Se 3.40
3 Ba 0.0019 0.0019 0.0000  4 Se 3.52, 2 Ba 3.87, 2 Sr 3.89
4 Se 0.4955 0.4955 0.0000  2 Sr 3.26, 6 Ba 3.40-3.52

=====

10.
An optimized crystal structure of Nd2Dy6Y3, computed with GGA-PBE.

* ΔE to the lowest computed polymorph: 0 meV/atom
* energy of formation: 0.1852 eV/atom

Lattice parameters (Å, degrees): 6.1362 6.1432 11.7319 84.95 79.84 60.04
With the nearest neighbours (Å) after each atom.
Sites, in units of the cell vectors:
1 Nd 0.8334 0.3333 0.5000  3 Nd 3.54-3.55, 6 Dy 3.55-3.56
2 Nd 0.1666 0.6667 0.5000  3 Nd 3.54-3.55, 6 Dy 3.55-3.56
3 Dy 0.5838 0.3336 0.2480  3 Y 3.52-3.53, 6 Dy 3.54-3.55, 2 Nd 3.56
4 Dy 0.9174 0.6664 0.2480  3 Y 3.52-3.53, 6 Dy 3.54-3.55, 2 Nd 3.56
5 Dy 0.0826 0.3336 0.7520  3 Y 3.52-3.53, 6 Dy 3.54-3.55, 2 Nd 3.56
6 Dy 0.4162 0.6664 0.7520  3 Y 3.52-3.53, 6 Dy 3.54-3.55, 2 Nd 3.56
7 Dy 0.2500 0.0000 0.2482  3 Y 3.51-3.52, 6 Dy 3.54-3.55, 2 Nd 3.55
8 Dy 0.7500 0.0000 0.7518  3 Y 3.51-3.52, 6 Dy 3.54-3.55, 2 Nd 3.55
9 Y 0.0000 0.0000 0.0000  6 Dy 3.52, 6 Y 3.54-3.56
10 Y 0.6652 0.6697 0.0000  6 Dy 3.51-3.53, 6 Y 3.52-3.56
11 Y 0.3348 0.3303 0.0000  6 Dy 3.51-3.53, 6 Y 3.52-3.56

=====

11.
An optimized crystal structure of GaNiIN2, computed with GGA-PBE.

* ΔE to the lowest computed polymorph: 805 meV/atom
* formation energy without anion corrections: 2.08 eV per atom

Lattice parameters (Å, degrees): 3.9459 6.0364 3.9459 90.00 90.00 90.00
With the nearest neighbours (Å) after each atom.
Sites, in units of the cell vectors:
1 I 0.0000 0.0000 0.0000  4 N 1.97
2 Ga 0.0000 0.5000 0.0000  4 Ni 2.79, 2 I 3.02
3 Ni 0.5000 0.5000 0.5000  4 Ga 2.79
4 N 0.0000 0.0000 0.5000  2 I 1.97
5 N 0.5000 0.0000 0.0000  2 I 1.97

=====

12.
An optimized crystal structure of Rb2CaTaBr6, computed with GGA-PBE.

* formation energy without anion corrections: -1.29 eV per atom

Lattice parameters (Å, degrees): 7.8572 7.8572 7.8571 60.00 60.00 90.00
With the nearest neighbours (Å) after each atom.
Sites, in units of the cell vectors:
1 Rb 0.2500 0.7500 0.5000  12 Br 3.93
2 Rb 0.7500 0.2500 0.5000  12 Br 3.93
3 Br 0.2422 0.2422 0.0000  1 Ta 2.69, 1 Ca 2.86
4 Br 0.7578 0.7578 0.4844  1 Ta 2.69, 1 Ca 2.86
5 Br 0.2422 0.2422 0.5156  1 Ta 2.69, 1 Ca 2.86
6 Br 0.2422 0.7578 0.0000  1 Ta 2.69, 1 Ca 2.86
7 Br 0.7578 0.2422 0.0000  1 Ta 2.69, 1 Ca 2.86
8 Br 0.7578 0.7578 0.0000  1 Ta 2.69, 1 Ca 2.86
9 Ta 0.0000 0.0000 0.0000  6 Br 2.69
10 Ca 0.5000 0.5000 0.0000  6 Br 2.86

=====

| no. | calculated density (kg/m³) |
| --- | --- |
| 1 | 3451 |
| 2 | 7249 |
| 3 | 7247 |
| 4 | 6757 |
| 5 | 7765 |
| 6 | 6466 |
| 7 | 7392 |
| 8 | 10708 |
| 9 | 4115 |
| 10 | 6738 |
| 11 | 5006 |
| 12 | 4219 |